The following is a DFT calculation (PBE) of SmHo3Er3 after structural relaxation.

Output
Energy relative to the lowest polymorph listed for this composition   0.000 eV/atom
Total magnetization   0.00 μB/f.u.
ΔE_f   0.008 eV/atom

Unit cell a=9.5145 b=9.5145 c=5.6247 alpha=90.00 beta=90.00 gamma=120.00
Space group P6_3/m (No. 176)
Symmetry-distinct sites (fractional):
1 Sm 0.3333 0.6667 0.2500 [2 per cell]
2 Ho 0.0959 0.4765 0.7500 [6 per cell]
3 Er 0.0482 0.2363 0.2500 [6 per cell]

=====

The following is a DFT calculation (PBE) of Zn2FeBr after structural relaxation.

Output
Energy relative to the lowest polymorph listed for this composition   0.243 eV/atom
Total magnetization   2.86 μB/f.u.
Formation energy without anion corrections   0.37 eV per atom

Unit cell a=11.813 b=3.026 c=4.293 alpha=90.00 beta=110.98 gamma=90.00
Space group C2/m (No. 12)
Symmetry-distinct sites (fractional):
1 Zn 0.212 0.000 0.212 [4 per cell]
2 Fe 0.000 0.500 0.000 [2 per cell]
3 Br 0.000 0.000 0.500 [2 per cell]

=====

The following is a DFT calculation (PBE) of V2Bi2Br after structural relaxation.

Output
Energy relative to the lowest polymorph listed for this composition   0.268 eV/atom
Total magnetization   0.01 μB/f.u.
Formation energy without anion corrections   0.59 eV per atom

Unit cell a=4.590 b=4.590 c=11.678 alpha=90.00 beta=90.00 gamma=90.00
Space group I4/mmm (No. 139)
Symmetry-distinct sites (fractional):
1 V 0.000 0.000 0.080 [4 per cell]
2 Bi 0.000 0.500 0.250 [4 per cell]
3 Br 0.000 0.000 0.500 [2 per cell]

=====

The following is a DFT calculation (PBE) of GaCoSn after structural relaxation.

Output
Total magnetization   0.00 μB/f.u.
ΔE_f   -0.073 eV/atom

Unit cell a=5.622 b=8.246 c=4.725 alpha=90.00 beta=92.96 gamma=90.00
Space group C2 (No. 5)
Symmetry-distinct sites (fractional):
1 Ga 0.000 0.000 0.000 [2 per cell]
2 Ga 0.000 0.193 0.500 [2 per cell]
3 Co 0.248 0.952 0.409 [4 per cell]
4 Sn 0.000 0.402 0.000 [2 per cell]
5 Sn 0.000 0.705 0.500 [2 per cell]

=====

The following is a DFT calculation (PBE) of SrMg6CuO8 after structural relaxation.

Output
Energy relative to the lowest polymorph listed for this composition   0.004 eV/atom
Total magnetization   0.68 μB/f.u.
Formation energy without anion corrections   -2.25 eV per atom

Unit cell a=4.470 b=4.470 c=8.731 alpha=90.00 beta=90.00 gamma=90.00
Space group P4/mmm (No. 123)
Symmetry-distinct sites (fractional):
1 Sr 0.000 0.000 0.000 [1 per cell]
2 Mg 0.000 0.000 0.500 [1 per cell]
3 Mg 0.000 0.500 0.260 [4 per cell]
4 Mg 0.500 0.500 0.500 [1 per cell]
5 Cu 0.500 0.500 0.000 [1 per cell]
6 O 0.000 0.000 0.273 [2 per cell]
7 O 0.000 0.500 0.000 [2 per cell]
8 O 0.000 0.500 0.500 [2 per cell]
9 O 0.500 0.500 0.254 [2 per cell]

=====

The following is a DFT calculation (PBE) of CuReNi2 after structural relaxation.

Output
Energy relative to the lowest polymorph listed for this composition   0.117 eV/atom
Total magnetization   0.00 μB/f.u.
ΔE_f   0.105 eV/atom

Unit cell a=2.6458 b=2.6458 c=24.7061 alpha=90.00 beta=90.00 gamma=120.00
Space group R-3m (No. 166, hexagonal axes)
Symmetry-distinct sites (fractional):
1 Cu 0.0000 0.0000 0.0000 [3 per cell]
2 Re 0.0000 0.0000 0.5000 [3 per cell]
3 Ni 0.0000 0.0000 0.2513 [6 per cell]

=====

The following is a DFT calculation (PBE) of HgTeO3 after structural relaxation.

Output
Total magnetization   0.00 μB/f.u.
Formation energy without anion corrections   -0.74 eV per atom

Unit cell a=11.701 b=4.825 c=7.756 alpha=90.00 beta=118.78 gamma=90.00
Space group C2 (No. 5)
Symmetry-distinct sites (fractional):
1 Hg 0.176 0.000 0.102 [4 per cell]
2 Te 0.000 0.458 0.261 [4 per cell]
3 O 0.008 0.069 0.208 [4 per cell]
4 O 0.126 0.440 0.647 [4 per cell]
5 O 0.136 0.515 0.006 [4 per cell]

=====

The following is a DFT calculation (PBE) of CaCr2Tc after structural relaxation.

Output
Energy relative to the lowest polymorph listed for this composition   0.366 eV/atom
Total magnetization   0.00 μB/f.u.
ΔE_f   0.824 eV/atom

Unit cell a=6.246 b=6.246 c=6.246 alpha=90.00 beta=90.00 gamma=90.00
Space group Fm-3m (No. 225)
Symmetry-distinct sites (fractional):
1 Ca 0.000 0.000 0.000 [4 per cell]
2 Cr 0.250 0.250 0.250 [8 per cell]
3 Tc 0.000 0.000 0.500 [4 per cell]

=====

The following is a DFT calculation (PBE) of ErTc2P2 after structural relaxation.

Output
Total magnetization   0.00 μB/f.u.
ΔE_f   -0.900 eV/atom

Unit cell a=4.159 b=4.159 c=9.346 alpha=90.00 beta=90.00 gamma=90.00
Space group I4/mmm (No. 139)
Symmetry-distinct sites (fractional):
1 Er 0.000 0.000 0.000 [2 per cell]
2 Tc 0.000 0.500 0.250 [4 per cell]
3 P 0.000 0.000 0.370 [4 per cell]

=====

The following is a DFT calculation (PBE) of Th6Co2C3Se after structural relaxation.

Output
Total magnetization   0.00 μB/f.u.
Formation energy without anion corrections   -0.45 eV per atom

Unit cell a=17.478 b=3.842 c=7.983 alpha=90.00 beta=108.68 gamma=90.00
Space group C2/m (No. 12)
Symmetry-distinct sites (fractional):
1 Th 0.003 0.000 0.224 [4 per cell]
2 Th 0.155 0.500 0.107 [4 per cell]
3 Th 0.182 0.500 0.595 [4 per cell]
4 Co 0.199 0.000 0.893 [4 per cell]
5 C 0.000 0.500 0.000 [2 per cell]
6 C 0.161 0.000 0.352 [4 per cell]
7 Se 0.000 0.500 0.500 [2 per cell]

=====

The following is a DFT calculation (PBE) of BaSmCrN3 after structural relaxation.

Output
Total magnetization   0.00 μB/f.u.
Formation energy without anion corrections   -0.76 eV per atom

Unit cell a=13.378 b=3.818 c=7.703 alpha=90.00 beta=105.58 gamma=90.00
Space group C2/m (No. 12)
Symmetry-distinct sites (fractional):
1 Ba 0.139 0.000 0.076 [4 per cell]
2 Sm 0.154 0.000 0.569 [4 per cell]
3 Cr 0.003 0.500 0.691 [4 per cell]
4 N 0.004 0.000 0.307 [4 per cell]
5 N 0.140 0.500 0.792 [4 per cell]
6 N 0.155 0.500 0.356 [4 per cell]

=====

The following is a DFT calculation (PBE) of Ba3TbB9O18 after structural relaxation.

Output
Total magnetization   0.00 μB/f.u.
Formation energy without anion corrections   -2.72 eV per atom

Unit cell a=7.2814 b=7.2814 c=17.4585 alpha=90.00 beta=90.00 gamma=120.00
Space group P6_3/m (No. 176)
Symmetry-distinct sites (fractional):
1 Ba 0.0000 0.0000 0.2500 [2 per cell]
2 Ba 0.3333 0.6667 0.1319 [4 per cell]
3 Tb 0.0000 0.0000 0.0000 [2 per cell]
4 B 0.1173 0.6216 0.7500 [6 per cell]
5 B 0.1648 0.4501 0.5823 [12 per cell]
6 O 0.0040 0.2508 0.5814 [12 per cell]
7 O 0.0803 0.4136 0.2500 [6 per cell]
8 O 0.1237 0.6205 0.5824 [12 per cell]
9 O 0.1676 0.4581 0.7500 [6 per cell]